The following is a DFT calculation (PBE-GGA) of a relaxed structure of GePd4S2.

Cell: 7.013 7.013 7.013 Å, 140.82 140.82 56.62°
Element x y z (fractional)
Ge (0.000, 0.000, 0.000)
Pd (0.000, 0.500, 0.500)
Pd (0.195, 0.195, 0.000)
Pd (0.500, 0.000, 0.500)
Pd (0.805, 0.805, 0.000)
S (0.382, 0.382, 0.000)
S (0.618, 0.618, 0.000)

* E_tot: -4.519 eV per atom
* density of states at the Fermi level: 5.2 states/eV per cell